[1]
VASP calculation (GGA-PBEsol) on crystalline Ba2CaRh at its relaxed geometry.

Cell: 5.577 5.577 8.064 Å, 108.77 108.77 42.03°
Positions (direct):
1 Ba 0.000 0.000 0.000
2 Ba 0.157 0.157 0.590
3 Ca 0.344 0.344 0.297
4 Rh 0.628 0.628 0.296

## Properties
theoretical density	4.4	g/cm³
Fermi-level density of states	2.964	states/eV/f.u.
energy above the lowest structure with this stoichiometry	0.0	meV per atom
calculated formation energy	-0.082	eV/atom

---

[2]
VASP calculation (GGA-PBEsol) on crystalline CrGePd3 at its relaxed geometry.

Cell: 4.539 4.539 4.539 Å, 90.00 90.00 90.00°
Positions (direct):
1 Cr 0.000 0.000 0.000
2 Ge 0.500 0.500 0.500
3 Pd 0.000 0.500 0.500
4 Pd 0.500 0.000 0.500
5 Pd 0.500 0.500 0.000

## Properties
theoretical density	7.9	g/cm³
Fermi-level density of states	5.250	states/eV/f.u.
calculated formation energy	0.488	eV/atom

---

[3]
VASP calculation (GGA-PBEsol) on crystalline TcP2OsO at its relaxed geometry.

Cell: 4.690 4.690 3.593 Å, 90.00 90.00 90.00°
Positions (direct):
1 Tc 0.000 0.000 0.000
2 P 0.000 0.500 0.500
3 P 0.500 0.000 0.500
4 Os 0.500 0.500 0.500
5 O 0.500 0.500 0.000

## Properties
theoretical density	7.7	g/cm³
Fermi-level density of states	3.566	states/eV/f.u.
uncorrected formation energy	0.575	eV per atom